Pm3Mg2Ag4: relaxed, PBE.

Geometry as POSCAR:
```
Pm3Mg2Ag4
1.0
-2.8195 2.8091 2.7022
-1.2397 -5.3293 -0.0355
5.9341 -0.8979 7.1249
Pm Mg Ag
3 2 4
Direct
0.3582 0.7163 0.6010 Pm
0.0000 0.0000 0.0000 Pm
0.6418 0.2837 0.3990 Pm
0.3266 0.6532 0.2206 Mg
0.6734 0.3468 0.7794 Mg
0.7020 0.4039 0.0826 Ag
0.0551 0.1102 0.6506 Ag
0.9449 0.8898 0.3494 Ag
0.2980 0.5961 0.9174 Ag
```

Results
Total magnetic moment ... 0.0 μB/cell
Energy of formation from the pure elements ... -0.231 eV/atom



PmMgAg: relaxed, PBE.

Geometry as POSCAR:
```
PmMgAg
1.0
3.4094 0.0001 -0.0001
-0.0004 5.0748 0.0001
0.0002 0.0004 8.6523
Pm Mg Ag
2 2 2
Direct
0.3117 0.7161 0.1175 Pm
0.3118 0.2161 0.6752 Pm
0.8110 0.2164 0.3131 Mg
0.8113 0.7164 0.4800 Mg
0.8119 0.2161 0.9875 Ag
0.8120 0.7161 0.8053 Ag
```

Results
Total magnetic moment ... 0.0 μB/cell
Offset from the most stable computed form ... 0.204 eV per formula unit
Energy of formation from the pure elements ... -0.195 eV/atom



PmMg2Ag: relaxed, PBE.

Geometry as POSCAR:
```
PmMg2Ag
1.0
-4.6911 -3.0591 -1.2120
4.2013 -4.2578 -5.5147
4.2165 -11.1494 11.8206
Pm Mg Ag
8 16 8
Direct
0.4501 0.2500 0.1394 Pm
0.9501 0.7500 0.3606 Pm
0.5499 0.7500 0.8606 Pm
0.0499 0.2500 0.6394 Pm
0.7475 0.2500 0.3945 Pm
0.2475 0.7500 0.1055 Pm
0.2525 0.7500 0.6055 Pm
0.7525 0.2500 0.8945 Pm
0.9521 0.0545 0.2149 Mg
0.4521 0.9455 0.2851 Mg
0.0479 0.5545 0.7851 Mg
0.5479 0.4455 0.7149 Mg
0.0479 0.9455 0.7851 Mg
0.5479 0.0545 0.7149 Mg
0.9521 0.4455 0.2149 Mg
0.4521 0.5545 0.2851 Mg
0.7471 0.5549 0.0361 Mg
0.2471 0.4451 0.4639 Mg
0.2529 0.0549 0.9639 Mg
0.7529 0.9451 0.5361 Mg
0.2529 0.4451 0.9639 Mg
0.7529 0.5549 0.5361 Mg
0.7471 0.9451 0.0361 Mg
0.2471 0.0549 0.4639 Mg
0.2417 0.2500 0.3182 Ag
0.7417 0.7500 0.1818 Ag
0.7583 0.7500 0.6818 Ag
0.2583 0.2500 0.8182 Ag
0.9598 0.2500 0.0694 Ag
0.4598 0.7500 0.4306 Ag
0.0402 0.7500 0.9306 Ag
0.5402 0.2500 0.5694 Ag
```

Results
Total magnetic moment ... 0.0 μB/cell
Offset from the most stable computed form ... 0.000 eV per formula unit
Energy of formation from the pure elements ... -0.212 eV/atom



- What is the total magnetic moment in the first record?
  0.0 μB/cell



- Which formula does entry 1 have?
  Pm3Mg2Ag4



- What is the formula in the second record?
  PmMgAg